# K3TmB2O6 PBE-GGA relaxed
data_K3TmB2O6
_symmetry_space_group_name_H-M 'P 1'
_symmetry_Int_Tables_number 1
_symmetry_space_group_name_Hall 'P 1'
_cell_length_a 5.531
_cell_length_b 5.531
_cell_length_c 6.881
_cell_angle_alpha 90.00
_cell_angle_beta 90.00
_cell_angle_gamma 120.00
loop_
_atom_site_label
_atom_site_type_symbol
_atom_site_fract_x
_atom_site_fract_y
_atom_site_fract_z
K1 K 0.333 0.667 0.740
K2 K 0.667 0.333 0.260
K3 K 0.000 0.000 0.000
Tm1 Tm 0.000 0.000 0.500
B1 B 0.667 0.333 0.697
B2 B 0.333 0.667 0.303
O1 O 0.625 0.812 0.304
O2 O 0.188 0.375 0.304
O3 O 0.188 0.812 0.304
O4 O 0.812 0.625 0.696
O5 O 0.375 0.188 0.696
O6 O 0.812 0.188 0.696
# Total magnetic moment   0.0 μB/f.u.
# DOS at the Fermi energy   0.00 states/eV per atom
# Calculated density   3.68 g/cm3
# Energy   -6.7484 eV per atom
# Formation energy without anion corrections   -2.51 eV per atom